Material: VFeOs2
Method: DFT, GGA-PBE
State: optimized geometry

Computed properties:
energy of formation from the pure elements: 664 meV per atom
DFT total energy: -9.35 eV per atom
SG: I-42d, No. 122

```
8
Lattice="3.7641 0.0000 0.0000 0.0000 3.7641 0.0000 1.8821 1.8821 8.4266" Properties=species:S:1:pos:R:3 pbc="T T T"
Os 4.7051 4.7934 6.3200
Os 2.8231 2.7348 6.3200
Os 0.8527 2.8231 2.1067
Os 2.9114 0.9410 2.1067
Fe 0.0000 0.0000 0.0000
Fe 3.7641 1.8821 4.2133
V 1.8821 3.7641 4.2133
V 1.8821 1.8821 0.0000
```

Material: V3Fe2Os
Method: DFT, GGA-PBE
State: optimized geometry

Computed properties:
energy of formation from the pure elements: -182 meV per atom
DFT total energy: -9.43 eV per atom
SG: Cmmm, No. 65
energy above the lowest structure with this stoichiometry: 0 meV per atom

```
12
Lattice="4.1658 0.0000 0.0163 2.0829 6.2332 0.0082 -0.0233 0.0000 5.8548" Properties=species:S:1:pos:R:3 pbc="T T T"
V 2.0654 0.0000 4.3599
V 2.0655 4.1979 4.3406
V 2.0771 0.0000 1.5113
V 4.1484 2.0352 4.3487
V 2.0770 4.1979 1.5306
V 4.1599 2.0352 1.5388
Fe 0.0000 0.0000 0.0000
Fe 2.0712 2.1055 2.9356
Fe 4.1541 4.1276 2.9438
Fe -0.0117 0.0000 2.9274
Os 4.1658 4.1682 0.0163
Os 2.0829 2.0650 0.0082
```

Material: VFeOs
Method: DFT, GGA-PBE
State: optimized geometry

Computed properties:
energy of formation from the pure elements: -15 meV per atom
DFT total energy: -9.62 eV per atom
SG: Cmcm, No. 63
energy above the lowest structure with this stoichiometry: 72 meV per atom

```
6
Lattice="-1.7951 3.7432 -0.6459 -2.2455 -0.4474 3.6484 4.1404 0.0701 2.5569" Properties=species:S:1:pos:R:3 pbc="T T T"
V 1.6933 0.4935 5.1258
V 1.6985 0.0450 2.5313
Fe -2.2797 2.9342 2.9797
Fe -0.2639 1.2773 1.4746
Os -0.3048 1.7088 4.0450
Os 1.9015 2.5728 2.9662
```